# 1
VASP calculation (GGA-PBE) on a geometry-optimized Rb2BiSb2 structure.

Summary:
Its formation energy from raw total energies is -148 kJ/mol of formula units.

Geometry as POSCAR:
```
Rb2BiSb2
1.0
6.0825 0.0000 0.0000
3.0413 6.4355 -1.2727
3.0413 -1.1622 10.3060
Sb Bi Rb
4 2 4
Direct
0.8771 0.7559 0.4899
0.0304 0.8562 0.0829
0.9696 0.1438 0.9171
0.1229 0.2441 0.5101
0.2558 0.8677 0.6208
0.7442 0.1323 0.3792
0.4603 0.3209 0.7586
0.5397 0.6792 0.2414
0.7111 0.7342 0.8436
0.2889 0.2658 0.1564
```

---

# 2
VASP calculation (GGA-PBE) on a geometry-optimized RbBi2Sb2 structure.

Summary:
Its formation energy from raw total energies is -15 kJ/mol of formula units.

Geometry as POSCAR:
```
RbBi2Sb2
1.0
4.9321 0.0000 0.0000
0.0000 4.9321 0.0000
2.4661 2.4661 7.5846
Bi Sb Rb
2 2 1
Direct
0.7500 0.2500 0.5000
0.2500 0.7500 0.5000
0.3996 0.3996 0.2008
0.6004 0.6004 0.7992
0.0000 0.0000 0.0000
```